# 1
Crystalline Cd6Si at its relaxed geometry. Source: the Alexandria database, functional PBE.

a b c (Å): 6.8032 6.8032 6.8032
angles (deg): 109.47 109.47 109.47
With the nearest neighbours (Å) after each atom.
Positions (direct):
Cd 0.2500 0.5000 0.7500  4 Cd 2.78
Cd 0.2500 0.7500 0.5000  4 Cd 2.78
Cd 0.5000 0.2500 0.7500  4 Cd 2.78
Cd 0.5000 0.7500 0.2500  4 Cd 2.78
Cd 0.7500 0.2500 0.5000  4 Cd 2.78
Cd 0.7500 0.5000 0.2500  4 Cd 2.78
Si 0.0000 0.0000 0.0000  24 Cd 4.39

Calculated values
* SG: No. 229

=====

# 2
Crystalline Cd5Si at its relaxed geometry. Source: the Alexandria database, functional PBE.

a b c (Å): 6.8378 6.8378 4.4638
angles (deg): 90.00 90.00 141.34
With the nearest neighbours (Å) after each atom.
Positions (direct):
Cd 0.0000 0.0000 0.0000  8 Cd 3.07-3.10, 4 Si 3.18
Cd 0.1636 0.8364 0.5000  10 Cd 3.07-3.18, 2 Si 3.10
Cd 0.3361 0.6639 0.0000  2 Si 3.07, 10 Cd 3.10-3.18
Cd 0.6639 0.3361 0.0000  2 Si 3.07, 10 Cd 3.10-3.18
Cd 0.8364 0.1636 0.5000  10 Cd 3.07-3.18, 2 Si 3.10
Si 0.5000 0.5000 0.5000  12 Cd 3.07-3.18

Calculated values
* SG: No. 65

=====

# 3
Crystalline CdSi2 at its relaxed geometry. Source: the Alexandria database, functional PBE.

a b c (Å): 5.3720 5.3720 5.3720
angles (deg): 106.24 106.24 116.15
With the nearest neighbours (Å) after each atom.
Positions (direct):
Cd 0.2500 0.2500 0.0000  2 Cd 2.84, 8 Si 2.89
Cd 0.7500 0.7500 0.0000  2 Cd 2.84, 8 Si 2.89
Si 0.1317 0.6317 0.7633  1 Si 2.40
Si 0.3683 0.1317 0.5000  1 Si 2.40
Si 0.6317 0.8683 0.5000  1 Si 2.40
Si 0.8683 0.3683 0.2367  1 Si 2.40

Calculated values
* SG: No. 140

=====

# 4
Crystalline CdSi2 at its relaxed geometry. Source: the Alexandria database, functional PBE.

a b c (Å): 4.9631 4.9631 5.3272
angles (deg): 90.00 90.00 120.00
With the nearest neighbours (Å) after each atom.
Positions (direct):
Cd 0.3333 0.6667 0.2500  5 Si 2.66-2.87
Cd 0.6667 0.3333 0.7500  5 Si 2.66-2.87
Si 0.0000 0.0000 0.0000  2 Si 2.66
Si 0.0000 0.0000 0.5000  2 Si 2.66
Si 0.3333 0.6667 0.7500  5 Cd 2.66-2.87
Si 0.6667 0.3333 0.2500  5 Cd 2.66-2.87

Calculated values
* SG: No. 194

=====

# 5
Crystalline Sm4CdSi at its relaxed geometry. Source: the Alexandria database, functional PBE.

a b c (Å): 9.9421 9.9421 9.9421
angles (deg): 60.00 60.00 60.00
With the nearest neighbours (Å) after each atom.
Positions (direct):
Sm 0.1858 0.1858 0.8142  2 Cd 3.37, 2 Si 3.61, 10 Sm 3.61-3.73
Sm 0.1858 0.8142 0.1858  2 Cd 3.37, 2 Si 3.61, 10 Sm 3.61-3.73
Sm 0.1858 0.8142 0.8142  2 Cd 3.37, 2 Si 3.61, 10 Sm 3.61-3.73
Sm 0.3934 0.3934 0.3934  3 Si 2.98
Sm 0.3934 0.3934 0.8199  3 Si 2.98
Sm 0.3934 0.8199 0.3934  3 Si 2.98
Sm 0.5624 0.5624 0.9376  2 Si 2.95
Sm 0.5624 0.9376 0.5624  2 Si 2.95
Sm 0.5624 0.9376 0.9376  2 Si 2.95
Sm 0.8142 0.1858 0.1858  2 Cd 3.37, 2 Si 3.61, 10 Sm 3.61-3.73
Sm 0.8142 0.1858 0.8142  2 Cd 3.37, 2 Si 3.61, 10 Sm 3.61-3.73
Sm 0.8142 0.8142 0.1858  2 Cd 3.37, 2 Si 3.61, 10 Sm 3.61-3.73
Sm 0.8199 0.3934 0.3934  3 Si 2.98
Sm 0.9376 0.5624 0.5624  2 Si 2.95
Sm 0.9376 0.5624 0.9376  2 Si 2.95
Sm 0.9376 0.9376 0.5624  2 Si 2.95
Cd 0.1691 0.1691 0.1691  3 Cd 3.22, 6 Sm 3.37-3.39
Cd 0.1691 0.1691 0.4927  3 Cd 3.22, 6 Sm 3.37-3.39
Cd 0.1691 0.4927 0.1691  3 Cd 3.22, 6 Sm 3.37-3.39
Cd 0.4927 0.1691 0.1691  3 Cd 3.22, 6 Sm 3.37-3.39
Si 0.1851 0.6050 0.6050  6 Sm 2.95-2.98
Si 0.6050 0.1851 0.6050  6 Sm 2.95-2.98
Si 0.6050 0.6050 0.1851  6 Sm 2.95-2.98
Si 0.6050 0.6050 0.6050  6 Sm 2.95-2.98

Calculated values
* SG: No. 216

=====

# 6
Crystalline Sm4CdSi2 at its relaxed geometry. Source: the Alexandria database, functional PBE.

a b c (Å): 9.6127 9.6127 9.6127
angles (deg): 30.02 30.02 30.02
With the nearest neighbours (Å) after each atom.
Positions (direct):
Sm 0.1176 0.1176 0.1176  3 Si 3.16, 3 Cd 3.18
Sm 0.2930 0.2930 0.2930  4 Si 2.99-3.03
Sm 0.7070 0.7070 0.7070  4 Si 2.99-3.03
Sm 0.8824 0.8824 0.8824  3 Si 3.16, 3 Cd 3.18
Cd 0.5000 0.5000 0.5000  2 Si 2.67
Si 0.4031 0.4031 0.4031  1 Cd 2.67, 3 Sm 2.99
Si 0.5969 0.5969 0.5969  1 Cd 2.67, 3 Sm 2.99

Calculated values
* SG: No. 166

=====

# 7
Crystalline Sm2CdSi at its relaxed geometry. Source: the Alexandria database, functional PBE.

a b c (Å): 7.6897 7.6897 7.6897
angles (deg): 32.73 32.73 32.73
With the nearest neighbours (Å) after each atom.
Positions (direct):
Sm 0.2348 0.2348 0.2348  3 Si 2.91
Sm 0.7652 0.7652 0.7652  3 Si 2.91
Cd 0.0000 0.0000 0.0000  6 Sm 3.30
Si 0.5000 0.5000 0.5000  6 Sm 2.91

Calculated values
* SG: No. 166

=====

# 8
Crystalline Sm2CdSi at its relaxed geometry. Source: the Alexandria database, functional PBE.

a b c (Å): 5.0632 5.0632 3.9068
angles (deg): 90.00 90.00 90.00
With the nearest neighbours (Å) after each atom.
Positions (direct):
Sm 0.0000 0.5000 0.0000  4 Si 3.20, 4 Cd 3.20, 4 Sm 3.58
Sm 0.5000 0.0000 0.0000  4 Si 3.20, 4 Cd 3.20, 4 Sm 3.58
Cd 0.0000 0.0000 0.5000  8 Sm 3.20, 4 Si 3.58
Si 0.5000 0.5000 0.5000  8 Sm 3.20, 4 Cd 3.58

Calculated values
* SG: No. 123

=====

# 9
Crystalline Sm6CdSi2 at its relaxed geometry. Source: the Alexandria database, functional PBE.

a b c (Å): 8.7084 8.7084 8.7084
angles (deg): 111.23 110.66 106.56
With the nearest neighbours (Å) after each atom.
Positions (direct):
Sm 0.0426 0.2459 0.7967  2 Si 3.01-3.28, 2 Cd 3.26-3.33
Sm 0.1797 0.2744 0.4541  3 Si 3.09-3.25, 1 Cd 3.23
Sm 0.1797 0.7256 0.9053  3 Si 3.09-3.25, 1 Cd 3.23
Sm 0.3226 0.0258 0.7032  3 Si 2.95-3.04
Sm 0.3226 0.6195 0.2968  3 Si 2.95-3.04
Sm 0.4492 0.2459 0.2033  2 Si 3.01-3.28, 2 Cd 3.26-3.33
Sm 0.5508 0.7541 0.7967  2 Si 3.01-3.28, 2 Cd 3.26-3.33
Sm 0.6774 0.3805 0.7032  3 Si 2.95-3.04
Sm 0.6774 0.9742 0.2968  3 Si 2.95-3.04
Sm 0.8203 0.2744 0.0947  3 Si 3.09-3.25, 1 Cd 3.23
Sm 0.8203 0.7256 0.5459  3 Si 3.09-3.25, 1 Cd 3.23
Sm 0.9574 0.7541 0.2033  2 Si 3.01-3.28, 2 Cd 3.26-3.33
Cd 0.0000 0.0000 0.0000  8 Sm 3.23-3.26, 2 Si 3.59
Cd 0.5000 0.5000 0.0000  8 Sm 3.33-3.45
Si 0.1148 0.6148 0.5000  1 Si 2.39
Si 0.3628 0.0000 0.3628  1 Si 2.72, 6 Sm 3.01-3.04
Si 0.6372 0.0000 0.6372  1 Si 2.72, 6 Sm 3.01-3.04
Si 0.8852 0.3852 0.5000  1 Si 2.39

Calculated values
* SG: No. 71

=====

# 10
Crystalline Cd2SiSn at its relaxed geometry. Source: the Alexandria database, functional PBE.

a b c (Å): 6.4248 6.4248 6.4248
angles (deg): 101.61 101.61 126.70
With the nearest neighbours (Å) after each atom.
Positions (direct):
Cd 0.0838 0.6250 0.9588  2 Si 2.74, 2 Cd 2.96
Cd 0.3750 0.3338 0.4588  2 Si 2.74, 2 Cd 2.96
Cd 0.6662 0.1250 0.0412  2 Si 2.74, 2 Cd 2.96
Cd 0.8750 0.9162 0.5412  2 Si 2.74, 2 Cd 2.96
Si 0.0000 0.0000 0.0000  4 Cd 2.74, 2 Sn 2.88
Si 0.7500 0.2500 0.5000  4 Cd 2.74, 2 Sn 2.88
Sn 0.2500 0.7500 0.5000  2 Si 2.88, 4 Cd 3.20
Sn 0.5000 0.5000 0.0000  2 Si 2.88, 4 Cd 3.20

Calculated values
* SG: No. 122

=====

In the order shown, the computed energy relative to the elements, uncorrected values come out to 0.779 0.189 0.672 0.689 -0.346 -0.312 -0.356 -0.406 -0.440 0.299 eV per atom.